Computed, not measured: an optimized crystal structure of CdTc2Os2 at the PBE level of DFT.

Output
Distance to the lowest polymorph of the same formula   56.6 meV per atom
Formation enthalpy at 0 K   29 kJ per mole of atoms
Space-group type   P4/mbm (127)

a b c (Å): 7.680 7.680 2.761
angles (deg): 90.00 90.00 90.00
Element x y z (fractional)
Cd: 0.000 0.000 0.000
Cd: 0.500 0.500 0.000
Tc: 0.123 0.377 0.000
Tc: 0.377 0.877 0.000
Tc: 0.623 0.123 0.000
Tc: 0.877 0.623 0.000
Os: 0.164 0.664 0.500
Os: 0.336 0.164 0.500
Os: 0.664 0.836 0.500
Os: 0.836 0.336 0.500

---

Computed, not measured: an optimized crystal structure of CdTc2Os at the PBE level of DFT.

Output
Formation enthalpy at 0 K   39 kJ per mole of atoms
Space-group type   Cm (8)

a b c (Å): 4.903 4.903 4.894
angles (deg): 100.98 100.98 33.29
Element x y z (fractional)
Cd: 0.000 0.000 0.000
Tc: 0.502 0.502 0.502
Tc: 0.766 0.766 0.278
Os: 0.236 0.236 0.716

---

Computed, not measured: an optimized crystal structure of CdTc2Os at the PBE level of DFT.

Output
Formation enthalpy at 0 K   51 kJ per mole of atoms
Space-group type   Immm (71)

a b c (Å): 5.543 5.543 5.543
angles (deg): 149.92 130.03 59.44
Element x y z (fractional)
Cd: 0.000 0.000 0.000
Tc: 0.277 0.777 0.500
Tc: 0.723 0.223 0.500
Os: 0.500 0.500 0.000

---

Computed, not measured: an optimized crystal structure of CdTc2Os at the PBE level of DFT.

Output
Formation enthalpy at 0 K   51 kJ per mole of atoms
Space-group type   Cmmm (65)

a b c (Å): 4.902 4.902 2.791
angles (deg): 90.00 90.00 112.08
Element x y z (fractional)
Cd: 0.000 0.000 0.000
Tc: 0.000 0.500 0.500
Tc: 0.500 0.000 0.500
Os: 0.500 0.500 0.000

---

Computed, not measured: an optimized crystal structure of CdTc2Os at the PBE level of DFT.

Output
Formation enthalpy at 0 K   47 kJ per mole of atoms
Space-group type   Imm2 (44)

a b c (Å): 5.525 5.525 5.525
angles (deg): 150.03 129.59 59.77
Element x y z (fractional)
Cd: 0.000 0.000 0.000
Tc: 0.496 0.496 0.000
Tc: 0.721 0.221 0.500
Os: 0.274 0.774 0.500

---

Computed, not measured: an optimized crystal structure of CdTc3Os at the PBE level of DFT.

Output
Distance to the lowest polymorph of the same formula   0.0 meV per atom
Formation enthalpy at 0 K   151 kJ per mole of atoms
Space-group type   Pm-3m (221)

a b c (Å): 4.720 4.720 4.720
angles (deg): 90.00 90.00 90.00
Element x y z (fractional)
Cd: 0.000 0.000 0.000
Tc: 0.000 0.500 0.500
Tc: 0.500 0.000 0.500
Tc: 0.500 0.500 0.000
Os: 0.500 0.500 0.500

---

Computed, not measured: an optimized crystal structure of CdTc2Os at the PBE level of DFT.

Output
Formation enthalpy at 0 K   82 kJ per mole of atoms
Space-group type   I-42d (122)

a b c (Å): 5.854 5.854 5.854
angles (deg): 102.17 102.17 125.33
Element x y z (fractional)
Cd: 0.000 0.000 0.000
Cd: 0.750 0.250 0.500
Tc: 0.181 0.625 0.056
Tc: 0.375 0.431 0.556
Tc: 0.569 0.125 0.944
Tc: 0.875 0.819 0.444
Os: 0.250 0.750 0.500
Os: 0.500 0.500 0.000

---

Computed, not measured: an optimized crystal structure of CdTc2Os at the PBE level of DFT.

Output
Formation enthalpy at 0 K   53 kJ per mole of atoms
Space-group type   I4/mmm (139)

a b c (Å): 4.999 4.999 4.999
angles (deg): 134.67 134.67 66.04
Element x y z (fractional)
Cd: 0.000 0.000 0.000
Tc: 0.250 0.750 0.500
Tc: 0.750 0.250 0.500
Os: 0.500 0.500 0.000

---

Computed, not measured: an optimized crystal structure of CdTcOs at the PBE level of DFT.

Output
Distance to the lowest polymorph of the same formula   157.5 meV per atom
Formation enthalpy at 0 K   38 kJ per mole of atoms
Space-group type   Imm2 (44)

a b c (Å): 5.188 5.188 5.188
angles (deg): 147.99 137.97 53.79
Element x y z (fractional)
Cd: 0.000 0.000 0.000
Tc: 0.311 0.311 0.000
Os: 0.687 0.687 0.000

---

Computed, not measured: an optimized crystal structure of CdTcOs at the PBE level of DFT.

Output
Distance to the lowest polymorph of the same formula   8.1 meV per atom
Formation enthalpy at 0 K   23 kJ per mole of atoms
Space-group type   P3m1 (156)

a b c (Å): 2.817 2.817 7.089
angles (deg): 90.00 90.00 120.00
Element x y z (fractional)
Cd: 0.000 0.000 0.000
Tc: 0.333 0.667 0.642
Os: 0.667 0.333 0.359

---

Computed, not measured: an optimized crystal structure of CdTc2Os at the PBE level of DFT.

Output
Formation enthalpy at 0 K   60 kJ per mole of atoms
Space-group type   F-43m (216)

a b c (Å): 4.463 4.463 4.463
angles (deg): 60.00 60.00 60.00
Element x y z (fractional)
Cd: 0.000 0.000 0.000
Tc: 0.250 0.250 0.250
Tc: 0.500 0.500 0.500
Os: 0.750 0.750 0.750

---

Computed, not measured: an optimized crystal structure of CdTc2Os at the PBE level of DFT.

Output
Formation enthalpy at 0 K   34 kJ per mole of atoms
Space-group type   P2/m (10)

a b c (Å): 2.798 3.950 5.769
angles (deg): 90.00 90.05 90.00
Element x y z (fractional)
Cd: 0.000 0.000 0.000
Tc: 0.498 0.500 0.286
Tc: 0.502 0.500 0.714
Os: 0.000 0.000 0.500

---

Computed, not measured: an optimized crystal structure of CdTc2Os at the PBE level of DFT.

Output
Formation enthalpy at 0 K   46 kJ per mole of atoms
Space-group type   Cmm2 (35)

a b c (Å): 2.735 2.735 9.479
angles (deg): 90.00 90.00 116.12
Element x y z (fractional)
Cd: 0.000 0.000 0.000
Tc: 0.000 0.000 0.502
Tc: 0.500 0.500 0.733
Os: 0.500 0.500 0.268

---

Computed, not measured: an optimized crystal structure of CdTc2Os at the PBE level of DFT.

Output
Formation enthalpy at 0 K   38 kJ per mole of atoms
Space-group type   Pmm2 (25)

a b c (Å): 2.822 4.449 4.967
angles (deg): 90.00 90.00 90.00
Element x y z (fractional)
Cd: 0.000 0.000 0.000
Tc: 0.500 0.000 0.498
Tc: 0.500 0.500 0.202
Os: 0.000 0.500 0.663

---

Computed, not measured: an optimized crystal structure of CdTcOs3 at the PBE level of DFT.

Output
Distance to the lowest polymorph of the same formula   0.0 meV per atom
Formation enthalpy at 0 K   196 kJ per mole of atoms
Space-group type   Pm-3m (221)

a b c (Å): 4.687 4.687 4.687
angles (deg): 90.00 90.00 90.00
Element x y z (fractional)
Cd: 0.000 0.000 0.000
Tc: 0.500 0.500 0.500
Os: 0.000 0.500 0.500
Os: 0.500 0.000 0.500
Os: 0.500 0.500 0.000

---

Computed, not measured: an optimized crystal structure of CdTc2Os at the PBE level of DFT.

Output
Formation enthalpy at 0 K   29 kJ per mole of atoms
Space-group type   P4mm (99)

a b c (Å): 2.794 2.794 8.132
angles (deg): 90.00 90.00 90.00
Element x y z (fractional)
Cd: 0.000 0.000 0.000
Tc: 0.000 0.000 0.487
Tc: 0.500 0.500 0.725
Os: 0.500 0.500 0.274

---

Computed, not measured: an optimized crystal structure of Cd4TcOs at the PBE level of DFT.

Output
Formation enthalpy at 0 K   85 kJ per mole of atoms
Space-group type   F-43m (216)

a b c (Å): 5.419 5.419 5.419
angles (deg): 60.00 60.00 60.00
Element x y z (fractional)
Cd: 0.125 0.125 0.125
Cd: 0.125 0.125 0.625
Cd: 0.125 0.625 0.125
Cd: 0.625 0.125 0.125
Tc: 0.500 0.500 0.500
Os: 0.750 0.750 0.750

---

Computed, not measured: an optimized crystal structure of CdTc2Os at the PBE level of DFT.

Output
Formation enthalpy at 0 K   63 kJ per mole of atoms
Space-group type   P4/mmm (123)

a b c (Å): 3.952 3.952 4.008
angles (deg): 90.00 90.00 90.00
Element x y z (fractional)
Cd: 0.000 0.000 0.000
Tc: 0.000 0.500 0.500
Tc: 0.500 0.000 0.500
Os: 0.500 0.500 0.000

---

Computed, not measured: an optimized crystal structure of CdTc2Os2 at the PBE level of DFT.

Output
Distance to the lowest polymorph of the same formula   0.0 meV per atom
Formation enthalpy at 0 K   24 kJ per mole of atoms
Space-group type   P4/mbm (127)

a b c (Å): 7.653 7.653 2.772
angles (deg): 90.00 90.00 90.00
Element x y z (fractional)
Cd: 0.000 0.000 0.000
Cd: 0.500 0.500 0.000
Tc: 0.165 0.335 0.500
Tc: 0.335 0.835 0.500
Tc: 0.665 0.165 0.500
Tc: 0.835 0.665 0.500
Os: 0.123 0.623 0.000
Os: 0.377 0.123 0.000
Os: 0.623 0.877 0.000
Os: 0.877 0.377 0.000

---

Computed, not measured: an optimized crystal structure of CdTc2Os at the PBE level of DFT.

Output
Formation enthalpy at 0 K   23 kJ per mole of atoms
Space-group type   R-3m (166)

a b c (Å): 9.409 9.409 9.409
angles (deg): 17.13 17.13 17.13
Element x y z (fractional)
Cd: 0.000 0.000 0.000
Tc: 0.243 0.243 0.243
Tc: 0.757 0.757 0.757
Os: 0.500 0.500 0.500

---

Computed, not measured: an optimized crystal structure of CdTcOs at the PBE level of DFT.

Output
Distance to the lowest polymorph of the same formula   0.0 meV per atom
Formation enthalpy at 0 K   23 kJ per mole of atoms
Space-group type   I4mm (107)

a b c (Å): 6.322 6.322 6.322
angles (deg): 153.71 153.71 37.51
Element x y z (fractional)
Cd: 0.000 0.000 0.000
Tc: 0.314 0.314 0.000
Os: 0.684 0.684 0.000

---

Computed, not measured: an optimized crystal structure of CdTc2Os at the PBE level of DFT.

Output
Formation enthalpy at 0 K   67 kJ per mole of atoms
Space-group type   Pmmm (47)

a b c (Å): 2.941 4.593 4.667
angles (deg): 90.00 90.00 90.00
Element x y z (fractional)
Cd: 0.000 0.000 0.000
Tc: 0.000 0.500 0.500
Tc: 0.500 0.000 0.500
Os: 0.500 0.500 0.000

---

Computed, not measured: an optimized crystal structure of CdTcOs at the PBE level of DFT.

Output
Distance to the lowest polymorph of the same formula   274.4 meV per atom
Formation enthalpy at 0 K   49 kJ per mole of atoms
Space-group type   Fmm2 (42)

a b c (Å): 7.607 7.378 2.764
angles (deg): 84.07 74.73 21.19
Element x y z (fractional)
Cd: 0.000 0.000 0.000
Tc: 0.323 0.323 0.677
Os: 0.677 0.677 0.323

---

Computed, not measured: an optimized crystal structure of CdTc2Os at the PBE level of DFT.

Output
Formation enthalpy at 0 K   53 kJ per mole of atoms
Space-group type   I-4m2 (119)

a b c (Å): 4.922 4.922 4.922
angles (deg): 133.16 133.16 68.41
Element x y z (fractional)
Cd: 0.000 0.000 0.000
Tc: 0.500 0.500 0.000
Tc: 0.750 0.250 0.500
Os: 0.250 0.750 0.500

---

Computed, not measured: an optimized crystal structure of CdTc2OsW at the PBE level of DFT.

Output
Formation enthalpy at 0 K   287 kJ per mole of atoms
Space-group type   P4/mmm (123)

a b c (Å): 4.662 4.662 4.687
angles (deg): 90.00 90.00 90.00
Element x y z (fractional)
Cd: 0.000 0.000 0.000
Tc: 0.000 0.500 0.000
Tc: 0.500 0.000 0.000
Os: 0.000 0.000 0.500
W: 0.500 0.500 0.500

---

Computed, not measured: an optimized crystal structure of Cd2Te2Os at the PBE level of DFT.

Output
Distance to the lowest polymorph of the same formula   257.8 meV per atom
Formation energy from raw total energies   1.109 eV per atom
Space-group type   I4/mmm (139)

a b c (Å): 9.039 9.039 9.039
angles (deg): 154.24 154.24 36.75
Element x y z (fractional)
Cd: 0.078 0.078 0.000
Cd: 0.922 0.922 0.000
Te: 0.250 0.750 0.500
Te: 0.750 0.250 0.500
Os: 0.500 0.500 0.000

---

Computed, not measured: an optimized crystal structure of CdTeOs3 at the PBE level of DFT.

Output
Distance to the lowest polymorph of the same formula   0.0 meV per atom
Formation energy from raw total energies   2.215 eV per atom
Space-group type   Pm-3m (221)

a b c (Å): 4.820 4.820 4.820
angles (deg): 90.00 90.00 90.00
Element x y z (fractional)
Cd: 0.000 0.000 0.000
Te: 0.500 0.500 0.500
Os: 0.000 0.500 0.500
Os: 0.500 0.000 0.500
Os: 0.500 0.500 0.000

---

Computed, not measured: an optimized crystal structure of CdTe2Os at the PBE level of DFT.

Output
Formation energy from raw total energies   0.263 eV per atom
Space-group type   Immm (71)

a b c (Å): 6.945 6.945 6.945
angles (deg): 153.07 139.53 49.28
Element x y z (fractional)
Cd: 0.000 0.000 0.000
Te: 0.328 0.828 0.500
Te: 0.672 0.172 0.500
Os: 0.500 0.500 0.000

---

Computed, not measured: an optimized crystal structure of CdTe4Os at the PBE level of DFT.

Output
Formation energy from raw total energies   1.286 eV per atom
Space-group type   F-43m (216)

a b c (Å): 6.268 6.268 6.268
angles (deg): 60.00 60.00 60.00
Element x y z (fractional)
Cd: 0.000 0.000 0.000
Te: 0.376 0.376 0.376
Te: 0.376 0.376 0.873
Te: 0.376 0.873 0.376
Te: 0.873 0.376 0.376
Os: 0.750 0.750 0.750

---

no.,M_tot (μB/cell),electronic total energy (eV per atom)
1,0.00,-8.52
2,0.00,-7.82
3,0.00,-7.69
4,0.00,-7.69
5,0.00,-7.73
6,1.90,-7.08
7,0.00,-7.37
8,0.00,-7.67
9,0.00,-7.11
10,0.00,-7.26
11,0.00,-7.59
12,0.00,-7.86
13,0.00,-7.75
14,0.00,-7.83
15,0.00,-6.96
16,0.00,-7.92
17,3.17,-3.33
18,1.21,-7.57
19,0.00,-8.57
20,0.00,-7.98
21,0.00,-7.27
22,0.00,-7.53
23,0.00,-6.99
24,0.46,-7.67
25,0.00,-6.19
26,1.37,-2.76
27,0.70,-5.33
28,0.00,-4.34
29,3.79,-2.83